P.
Density functional theory data (PBE) for a geometry-optimized Tb3Nd2Er7 structure.

Properties
Theoretical density ... 8.367 g/cm³

Cell lengths 19.0776, 19.0776, 3.5967 Å; angles 90.00, 90.00, 162.93 degrees
With the nearest neighbours (Å) after each atom.
Positions (direct):
Tb  0.0000  0.0000  0.0000  4 Er 3.35, 2 Tb 3.60
Tb  0.1860  0.8140  0.0000  2 Tb 3.60, 6 Er 3.63-3.75, 4 Nd 3.67
Tb  0.8140  0.1860  0.0000  2 Tb 3.60, 6 Er 3.63-3.75, 4 Nd 3.67
Nd  0.3532  0.6468  0.5000  3 Er 3.15-3.39
Nd  0.6468  0.3532  0.5000  3 Er 3.15-3.39
Er  0.0891  0.9109  0.5000  6 Er 3.43-3.60, 2 Nd 3.57, 2 Tb 3.81
Er  0.2696  0.7304  0.5000  1 Nd 3.15, 2 Er 3.19
Er  0.4294  0.5706  0.0000  8 Er 3.22-3.60, 2 Nd 3.39
Er  0.5000  0.5000  0.5000  6 Er 3.22-3.60, 4 Tb 3.35
Er  0.5706  0.4294  0.0000  8 Er 3.22-3.60, 2 Nd 3.39
Er  0.7304  0.2696  0.5000  1 Nd 3.15, 2 Er 3.19
Er  0.9109  0.0891  0.5000  6 Er 3.43-3.60, 2 Nd 3.57, 2 Tb 3.81

Q.
Density functional theory data (PBE) for a geometry-optimized Tb3Nd2Er7 structure.

Properties
Theoretical density ... 8.398 g/cm³

Cell lengths 6.3094, 3.5075, 17.4007 Å; angles 90.00, 96.21, 90.00 degrees
With the nearest neighbours (Å) after each atom.
Positions (direct):
Tb  0.0000  0.0000  0.0000  10 Er 3.50-3.61, 2 Tb 3.51
Tb  0.0477  0.5000  0.6578  2 Tb 3.51, 7 Er 3.58-3.73, 4 Nd 3.59-3.65
Tb  0.9523  0.5000  0.3422  2 Tb 3.51, 7 Er 3.58-3.73, 4 Nd 3.59-3.65
Nd  0.4416  0.0000  0.3260  5 Er 3.41-3.49, 2 Nd 3.51, 4 Tb 3.59-3.65
Nd  0.5584  0.0000  0.6740  5 Er 3.41-3.49, 2 Nd 3.51, 4 Tb 3.59-3.65
Er  0.2255  0.5000  0.1628  7 Er 3.48-3.61, 2 Nd 3.49, 3 Tb 3.50-3.73
Er  0.2445  0.0000  0.5006  2 Er 3.08-3.23, 2 Nd 3.41-3.43
Er  0.2728  0.0000  0.8345  1 Nd 3.48, 8 Er 3.51-3.61, 3 Tb 3.51-3.69
Er  0.5000  0.5000  0.0000  8 Er 3.48-3.54, 4 Tb 3.61
Er  0.7272  0.0000  0.1655  1 Nd 3.48, 8 Er 3.51-3.61, 3 Tb 3.51-3.69
Er  0.7555  0.0000  0.4994  2 Er 3.08-3.23, 2 Nd 3.41-3.43
Er  0.7745  0.5000  0.8372  7 Er 3.48-3.61, 2 Nd 3.49, 3 Tb 3.50-3.73

According to the calculations, the structures order from most to least stable as Q, P.

P.
Density functional theory data (PBE) for a geometry-optimized Tb6NdEr4 structure.

Properties
Theoretical density ... 8.332 g/cm³

Cell lengths 5.5937, 5.5937, 25.6235 Å; angles 90.00, 90.00, 118.55 degrees
With the nearest neighbours (Å) after each atom.
Positions (direct):
Tb  0.0000  0.0000  0.0000  8 Er 3.13-3.50
Tb  0.0000  0.0000  0.5000  8 Er 3.13-3.50
Tb  0.0306  0.9694  0.7500  3 Nd 3.22-3.27, 2 Er 3.29
Tb  0.3043  0.6957  0.1013  5 Er 3.29-3.54
Tb  0.3043  0.6957  0.3987  5 Er 3.29-3.54
Tb  0.3651  0.6349  0.6805  4 Er 3.51-3.63, 7 Tb 3.56-3.87, 3 Nd 3.64-3.74
Tb  0.3651  0.6349  0.8195  4 Er 3.51-3.63, 7 Tb 3.56-3.87, 3 Nd 3.64-3.74
Tb  0.6349  0.3651  0.1805  4 Er 3.51-3.63, 7 Tb 3.56-3.87, 3 Nd 3.64-3.74
Tb  0.6349  0.3651  0.3195  4 Er 3.51-3.63, 7 Tb 3.56-3.87, 3 Nd 3.64-3.74
Tb  0.6957  0.3043  0.6013  5 Er 3.29-3.54
Tb  0.6957  0.3043  0.8987  5 Er 3.29-3.54
Tb  0.9694  0.0306  0.2500  3 Nd 3.22-3.27, 2 Er 3.29
Nd  0.3044  0.6956  0.2500  3 Tb 3.22-3.27
Nd  0.6956  0.3044  0.7500  3 Tb 3.22-3.27
Er  0.0359  0.9641  0.6216  6 Tb 3.13-3.51
Er  0.0359  0.9641  0.8784  6 Tb 3.13-3.51
Er  0.3458  0.6542  0.5424  8 Tb 3.40-3.70, 2 Er 3.60-3.68
Er  0.3458  0.6542  0.9576  8 Tb 3.40-3.70, 2 Er 3.60-3.68
Er  0.6542  0.3458  0.0424  8 Tb 3.40-3.70, 2 Er 3.60-3.68
Er  0.6542  0.3458  0.4576  8 Tb 3.40-3.70, 2 Er 3.60-3.68
Er  0.9641  0.0359  0.1216  6 Tb 3.13-3.51
Er  0.9641  0.0359  0.3784  6 Tb 3.13-3.51

Q.
Density functional theory data (PBE) for a geometry-optimized Tb6NdEr4 structure.

Properties
Theoretical density ... 7.791 g/cm³

Cell lengths 8.5157, 8.5157, 8.5157 Å; angles 127.55, 127.55, 77.36 degrees
With the nearest neighbours (Å) after each atom.
Positions (direct):
Tb  0.0000  0.5000  0.5000  4 Er 3.01
Tb  0.0498  0.5766  0.0000  3 Er 3.21-3.59, 1 Nd 3.54
Tb  0.4234  0.4234  0.4732  3 Er 3.21-3.59, 1 Nd 3.54
Tb  0.5000  0.0000  0.5000  4 Er 3.01
Tb  0.5766  0.0498  0.0000  3 Er 3.21-3.59, 1 Nd 3.54
Tb  0.9502  0.9502  0.5268  3 Er 3.21-3.59, 1 Nd 3.54
Nd  0.0000  0.0000  0.0000  8 Tb 3.54-3.76, 4 Er 3.75
Er  0.2588  0.2588  0.6768  3 Tb 3.01-3.21, 2 Er 3.22
Er  0.4180  0.7412  0.0000  3 Tb 3.01-3.21, 2 Er 3.22
Er  0.5820  0.5820  0.3232  3 Tb 3.01-3.21, 2 Er 3.22
Er  0.7412  0.4180  0.0000  3 Tb 3.01-3.21, 2 Er 3.22

According to the calculations, the structures order from most to least stable as P, Q.

P.
Density functional theory data (PBE) for a geometry-optimized Tb3Nd5Er structure.

Properties
Theoretical density ... 6.610 g/cm³

Cell lengths 9.6527, 9.6527, 9.8911 Å; angles 120.37, 120.37, 74.97 degrees
With the nearest neighbours (Å) after each atom.
Positions (direct):
Tb  0.0000  0.0000  0.0000  2 Tb 3.13, 2 Er 3.31
Tb  0.0069  0.0069  0.3228  1 Tb 3.13, 5 Nd 3.25-3.43, 1 Er 3.43
Tb  0.4858  0.4858  0.1487  2 Tb 3.24-3.34, 4 Nd 3.26-3.60, 1 Er 3.30
Tb  0.5000  0.5000  0.5000  4 Nd 2.97-3.17
Tb  0.5142  0.5142  0.8513  2 Tb 3.24-3.34, 4 Nd 3.26-3.60, 1 Er 3.30
Tb  0.9931  0.9931  0.6772  1 Tb 3.13, 5 Nd 3.25-3.43, 1 Er 3.43
Nd  0.0999  0.6056  0.7634  2 Nd 3.39-3.45, 2 Tb 3.50-3.60
Nd  0.2283  0.2283  0.7358  3 Tb 3.25-3.42, 3 Nd 3.30-3.45, 1 Er 3.34
Nd  0.2468  0.7532  0.5000  1 Tb 2.97
Nd  0.2742  0.2742  0.4516  3 Tb 3.17-3.43, 3 Nd 3.30-3.39, 1 Er 3.32
Nd  0.3944  0.9001  0.2366  2 Nd 3.39-3.45, 2 Tb 3.50-3.60
Nd  0.6056  0.0999  0.7634  2 Nd 3.39-3.45, 2 Tb 3.50-3.60
Nd  0.7258  0.7258  0.5484  3 Tb 3.17-3.43, 3 Nd 3.30-3.39, 1 Er 3.32
Nd  0.7532  0.2468  0.5000  1 Tb 2.97
Nd  0.7717  0.7717  0.2642  3 Tb 3.25-3.42, 3 Nd 3.30-3.45, 1 Er 3.34
Nd  0.9001  0.3944  0.2366  2 Nd 3.39-3.45, 2 Tb 3.50-3.60
Er  0.2493  0.2493  0.0932  4 Tb 3.30-3.43, 2 Nd 3.32-3.34
Er  0.7507  0.7507  0.9068  4 Tb 3.30-3.43, 2 Nd 3.32-3.34

Q.
Density functional theory data (PBE) for a geometry-optimized Tb3Nd5Er structure.

Properties
Theoretical density ... 7.212 g/cm³

Cell lengths 10.5770, 10.5770, 11.7899 Å; angles 121.43, 121.43, 34.69 degrees
With the nearest neighbours (Å) after each atom.
Positions (direct):
Tb  0.0000  0.0000  0.0000  2 Er 3.01, 2 Nd 3.14
Tb  0.0000  0.0000  0.5000  2 Er 3.01, 2 Nd 3.14
Tb  0.0445  0.6031  0.9732  1 Er 3.35, 2 Tb 3.39-3.67, 4 Nd 3.44-3.59
Tb  0.3969  0.9555  0.5268  1 Er 3.35, 2 Tb 3.39-3.67, 4 Nd 3.44-3.59
Tb  0.6031  0.0445  0.4732  1 Er 3.35, 2 Tb 3.39-3.67, 4 Nd 3.44-3.59
Tb  0.9555  0.3969  0.0268  1 Er 3.35, 2 Tb 3.39-3.67, 4 Nd 3.44-3.59
Nd  0.0031  0.3569  0.3311  4 Tb 3.44-3.77, 5 Nd 3.52-3.65, 1 Er 3.66
Nd  0.1943  0.5314  0.3429  2 Tb 3.14-3.50
Nd  0.3569  0.0031  0.8311  4 Tb 3.44-3.77, 5 Nd 3.52-3.65, 1 Er 3.66
Nd  0.4093  0.5907  0.7500  2 Er 3.09-3.21
Nd  0.4686  0.8057  0.1571  2 Tb 3.14-3.50
Nd  0.5314  0.1943  0.8429  2 Tb 3.14-3.50
Nd  0.5907  0.4093  0.2500  2 Er 3.09-3.21
Nd  0.6431  0.9969  0.1689  4 Tb 3.44-3.77, 5 Nd 3.52-3.65, 1 Er 3.66
Nd  0.8057  0.4686  0.6571  2 Tb 3.14-3.50
Nd  0.9969  0.6431  0.6689  4 Tb 3.44-3.77, 5 Nd 3.52-3.65, 1 Er 3.66
Er  0.1002  0.8998  0.2500  4 Tb 3.01-3.35, 2 Nd 3.09-3.21
Er  0.8998  0.1002  0.7500  4 Tb 3.01-3.35, 2 Nd 3.09-3.21

According to the calculations, the structures order from most to least stable as Q, P.

P.
Density functional theory data (PBE) for a geometry-optimized Tb3Nd2Er2 structure.

Properties
Theoretical density ... 7.910 g/cm³

Cell lengths 8.9531, 8.9531, 8.5614 Å; angles 118.45, 118.45, 22.64 degrees
With the nearest neighbours (Å) after each atom.
Positions (direct):
Tb  0.0000  0.0000  0.0000  4 Tb 3.33-3.51, 2 Er 3.56, 4 Nd 3.59
Tb  0.2116  0.2116  0.1254  5 Tb 3.33-3.51, 3 Nd 3.45-3.61, 3 Er 3.56-3.60
Tb  0.7884  0.7884  0.8746  5 Tb 3.33-3.51, 3 Nd 3.45-3.61, 3 Er 3.56-3.60
Nd  0.4334  0.4334  0.2799  3 Nd 3.33-3.51, 5 Tb 3.45-3.61, 2 Er 3.62
Nd  0.5666  0.5666  0.7201  3 Nd 3.33-3.51, 5 Tb 3.45-3.61, 2 Er 3.62
Er  0.1502  0.1502  0.4658  4 Er 3.51-3.70, 4 Tb 3.56-3.60, 4 Nd 3.62-3.77
Er  0.8498  0.8498  0.5342  4 Er 3.51-3.70, 4 Tb 3.56-3.60, 4 Nd 3.62-3.77

Q.
Density functional theory data (PBE) for a geometry-optimized Tb3Nd2Er2 structure.

Properties
Theoretical density ... 8.058 g/cm³

Cell lengths 6.1796, 6.1796, 10.7513 Å; angles 95.42, 95.42, 33.69 degrees
With the nearest neighbours (Å) after each atom.
Positions (direct):
Tb  0.0000  0.0000  0.0000  6 Nd 3.58-3.59, 2 Tb 3.58, 4 Er 3.60
Tb  0.1421  0.1421  0.5698  5 Tb 3.54-3.58, 5 Er 3.55-3.58, 2 Nd 3.58
Tb  0.8579  0.8579  0.4302  5 Tb 3.54-3.58, 5 Er 3.55-3.58, 2 Nd 3.58
Nd  0.2853  0.2853  0.1451  3 Er 3.57-3.58, 5 Tb 3.58-3.59, 4 Nd 3.58-3.62
Nd  0.7147  0.7147  0.8549  3 Er 3.57-3.58, 5 Tb 3.58-3.59, 4 Nd 3.58-3.62
Er  0.4293  0.4293  0.7119  7 Tb 3.55-3.60, 3 Nd 3.57-3.58, 2 Er 3.58
Er  0.5707  0.5707  0.2881  7 Tb 3.55-3.60, 3 Nd 3.57-3.58, 2 Er 3.58

According to the calculations, the structures order from most to least stable as Q, P.

P.
Density functional theory data (PBE) for a geometry-optimized Tb3NdEr2 structure.

Properties
Theoretical density ... 8.271 g/cm³

Cell lengths 7.1711, 7.1783, 8.8462 Å; angles 78.25, 78.27, 60.09 degrees
With the nearest neighbours (Å) after each atom.
Positions (direct):
Tb  0.1393  0.1395  0.1638  6 Er 3.50-3.60, 4 Tb 3.51-3.59, 2 Nd 3.55-3.57
Tb  0.2493  0.2505  0.5010  3 Er 3.54-3.55, 5 Tb 3.55-3.60, 4 Nd 3.58-3.60
Tb  0.3610  0.8607  0.8352  5 Tb 3.51-3.59, 6 Er 3.51-3.60, 1 Nd 3.56
Tb  0.6390  0.1393  0.1648  5 Tb 3.51-3.59, 6 Er 3.51-3.60, 1 Nd 3.56
Tb  0.7507  0.7495  0.4990  3 Er 3.54-3.55, 5 Tb 3.55-3.60, 4 Nd 3.58-3.60
Tb  0.8607  0.8605  0.8362  6 Er 3.50-3.60, 4 Tb 3.51-3.59, 2 Nd 3.55-3.57
Nd  0.2505  0.7492  0.4985  3 Er 3.54-3.56, 7 Tb 3.55-3.60, 2 Nd 3.58-3.60
Nd  0.7495  0.2508  0.5015  3 Er 3.54-3.56, 7 Tb 3.55-3.60, 2 Nd 3.58-3.60
Er  0.1395  0.6377  0.1648  3 Er 3.50-3.59, 8 Tb 3.51-3.60, 1 Nd 3.54
Er  0.3599  0.3617  0.8360  7 Tb 3.50-3.60, 3 Er 3.50-3.59, 2 Nd 3.55-3.56
Er  0.6401  0.6383  0.1640  7 Tb 3.50-3.60, 3 Er 3.50-3.59, 2 Nd 3.55-3.56
Er  0.8605  0.3623  0.8352  3 Er 3.50-3.59, 8 Tb 3.51-3.60, 1 Nd 3.54

Q.
Density functional theory data (PBE) for a geometry-optimized Tb3NdEr2 structure.

Properties
Theoretical density ... 8.284 g/cm³

Cell lengths 9.4262, 9.4262, 6.1643 Å; angles 90.10, 90.10, 44.38 degrees
With the nearest neighbours (Å) after each atom.
Positions (direct):
Tb  0.1239  0.8761  0.7500  4 Nd 3.55-3.57, 4 Tb 3.55-3.58, 4 Er 3.57
Tb  0.2061  0.4573  0.5845  4 Tb 3.51-3.58, 6 Er 3.53-3.57, 2 Nd 3.59
Tb  0.4573  0.2061  0.0845  4 Tb 3.51-3.58, 6 Er 3.53-3.57, 2 Nd 3.59
Tb  0.5427  0.7939  0.9155  4 Tb 3.51-3.58, 6 Er 3.53-3.57, 2 Nd 3.59
Tb  0.7939  0.5427  0.4155  4 Tb 3.51-3.58, 6 Er 3.53-3.57, 2 Nd 3.59
Tb  0.8761  0.1239  0.2500  4 Nd 3.55-3.57, 4 Tb 3.55-3.58, 4 Er 3.57
Nd  0.3742  0.6258  0.2500  8 Tb 3.55-3.59, 2 Nd 3.56, 2 Er 3.57
Nd  0.6258  0.3742  0.7500  8 Tb 3.55-3.59, 2 Nd 3.56, 2 Er 3.57
Er  0.0431  0.2918  0.9176  8 Tb 3.53-3.57, 3 Er 3.54-3.55, 1 Nd 3.57
Er  0.2918  0.0431  0.4176  8 Tb 3.53-3.57, 3 Er 3.54-3.55, 1 Nd 3.57
Er  0.7082  0.9569  0.5824  8 Tb 3.53-3.57, 3 Er 3.54-3.55, 1 Nd 3.57
Er  0.9569  0.7082  0.0824  8 Tb 3.53-3.57, 3 Er 3.54-3.55, 1 Nd 3.57

According to the calculations, the structures order from most to least stable as P, Q.